## CaGe3Se (PBE-GGA)

Data for an optimized crystal structure of CaGe3Se.

polymorph energy (0 for the lowest one)	0.0000	eV/atom
VASP energy	-3.607	eV per atom
ρ	4.01	Mg/m³
Fermi-level density of states	2.1	states/eV/cell

The structure in extended XYZ format:
```
5
Lattice="-4.9786 0.2326 1.4354 1.2540 -1.9051 4.6583 0.7361 4.8185 1.7724" Properties=species:S:1:pos:R:3 pbc="T T T"
Ge 0.6270 -0.9525 2.3291
Ge 0.3680 2.4092 0.8862
Ge -2.4893 0.1163 0.7177
Ca -1.4943 1.5730 3.9330
Se 0.0000 0.0000 0.0000
```